(1)
! NaTl2HgSb2, relaxed, DFT PBE; values from VASP
&SYSTEM
  ibrav = 0, nat = 12, ntyp = 4
/
ATOMIC_SPECIES
Na 22.99 Na.upf
Tl 204.38 Tl.upf
Hg 200.59 Hg.upf
Sb 121.76 Sb.upf
ATOMIC_POSITIONS crystal
Na 0.0000 0.9965 0.4544
Na 0.0000 0.4965 0.5456
Tl 0.5000 0.0211 0.0820
Tl 0.0000 0.3470 0.1650
Tl 0.5000 0.5211 0.9180
Tl 0.0000 0.8470 0.8350
Hg 0.5000 0.1561 0.6654
Hg 0.5000 0.6561 0.3346
Sb 0.0000 0.2521 0.8296
Sb 0.5000 0.2728 0.3653
Sb 0.0000 0.7521 0.1704
Sb 0.5000 0.7728 0.6347
CELL_PARAMETERS angstrom
4.9342 0.0000 0.0000
0.0000 7.8068 0.0000
0.0000 0.0000 9.3890
! Calculated volume ... 361.7 Å³/cell
! Crystal system ... orthorhombic
! Calculated density ... 8.0 g/cm3
! Energy relative to the elements, uncorrected ... -0.0947 eV per atom

=====

(2)
! NaTmHgSb, relaxed, DFT PBE; values from VASP
&SYSTEM
  ibrav = 0, nat = 4, ntyp = 4
/
ATOMIC_SPECIES
Sb 121.76 Sb.upf
Tm 168.93 Tm.upf
Hg 200.59 Hg.upf
Na 22.99 Na.upf
ATOMIC_POSITIONS crystal
Sb 0.7500 0.7500 0.7500
Tm 0.0000 0.0000 0.0000
Hg 0.2500 0.2500 0.2500
Na 0.5000 0.5000 0.5000
CELL_PARAMETERS angstrom
5.2462 0.0000 0.0000
2.6231 4.5433 0.0000
2.6231 1.5144 4.2835
! Calculated volume ... 102.1 Å³/cell
! Crystal system ... cubic
! Calculated density ... 8.4 g/cm3
! Energy relative to the elements, uncorrected ... -0.4340 eV per atom